TlAu2Cl at its PBEsol-relaxed geometry. Source: Alexandria via LeMat-Bulk, functional meta-GGA SCAN.

For the total magnetic moment, the calculation gives 0.00 μB/cell. The formation energy from raw total energies is -49 meV per atom. As for the calculated total energy: -54.71 eV per atom. The symmetry is No. 123.

```
data_TlAu2Cl
_chemical_formula_sum 'Tl1 Au2 Cl1'
_symmetry_space_group_name_H-M 'P 1'
_symmetry_Int_Tables_number 1
_symmetry_space_group_name_Hall 'P 1'
_cell_length_a 3.925
_cell_length_b 3.925
_cell_length_c 5.707
_cell_angle_alpha 90.00
_cell_angle_beta 90.00
_cell_angle_gamma 90.00
loop_
_atom_site_label
_atom_site_type_symbol
_atom_site_fract_x
_atom_site_fract_y
_atom_site_fract_z
Tl1 Tl 0.000 0.000 0.500
Cl1 Cl 0.500 0.500 0.500
Au1 Au 0.000 0.500 0.000
Au2 Au 0.500 0.000 0.000
```